# 1
! Pr6CdGe2S14 | Alexandria | PBE-GGA | optimized geometry; values from VASP
&SYSTEM
  ibrav = 0, nat = 23, ntyp = 4
/
ATOMIC_SPECIES
Pr 140.91 Pr.upf
S 32.06 S.upf
Ge 72.64 Ge.upf
Cd 112.41 Cd.upf
ATOMIC_POSITIONS angstrom
Pr -0.719 -3.363 0.936
Pr -2.311 -6.844 -2.115
Pr -1.880 -1.732 4.838
Pr 0.422 -8.051 1.762
Pr -0.740 -6.428 5.660
Pr 0.857 -2.947 8.718
S 3.055 -1.259 4.536
S 0.129 -5.960 -0.471
S -1.546 -8.735 4.083
S -3.319 -2.763 2.551
S 3.929 -4.648 5.206
S -2.208 -8.242 0.533
S 1.935 -3.851 2.363
S 3.525 -2.096 7.815
S -3.086 -4.850 -0.143
S -0.066 -1.094 2.610
S 0.400 -3.578 5.748
S -1.090 -5.642 2.706
S 1.722 -7.041 4.169
S -5.144 -7.693 -1.125
Ge -2.871 -6.338 1.527
Ge 2.218 -3.348 4.538
Cd -2.478 -0.313 1.649
CELL_PARAMETERS angstrom
-2.375 -8.624 -5.202
5.774 -0.551 8.569
-4.822 -0.609 3.210
! Uncorrected energy in eV per atom: -5.711
! Crystal system: trigonal
! DOS at the Fermi energy in states/eV/f.u.: 0.00

# 2
! AcHN | Alexandria | PBE-GGA | optimized geometry; values from VASP
&SYSTEM
  ibrav = 0, nat = 3, ntyp = 3
/
ATOMIC_SPECIES
N 14.01 N.upf
H 1.01 H.upf
Ac 227.00 Ac.upf
ATOMIC_POSITIONS angstrom
N 0.470 -2.104 0.800
H 0.952 -0.954 -2.431
Ac 1.481 -3.325 -1.529
CELL_PARAMETERS angstrom
-1.650 -1.580 -3.184
3.464 0.076 -1.832
-0.266 -2.118 3.600
! Polymorph energy (0 for the lowest one) in eV per formula unit: 0.46
! Crystal system: tetragonal
! DOS at the Fermi energy in states/eV/f.u.: 1.69

# 3
! Pr8Te4IrSe3 | Alexandria | PBE-GGA | optimized geometry; values from VASP
&SYSTEM
  ibrav = 0, nat = 16, ntyp = 4
/
ATOMIC_SPECIES
Pr 140.91 Pr.upf
Te 127.60 Te.upf
Ir 192.22 Ir.upf
Se 78.96 Se.upf
ATOMIC_POSITIONS angstrom
Pr -2.228 -5.746 3.076
Pr -2.909 1.317 6.132
Pr -1.755 -6.838 -0.956
Pr -4.842 -2.436 4.292
Pr 0.179 -3.086 0.884
Pr -2.435 0.224 2.100
Pr -4.389 -3.324 0.408
Pr -0.274 -2.198 4.768
Te -4.359 -0.226 -0.449
Te 0.000 0.000 0.000
Te -1.843 -3.576 -1.754
Te -2.517 3.350 1.304
Ir 2.028 -2.535 3.037
Se -2.332 -2.761 2.588
Se 0.185 -6.111 1.284
Se -0.489 0.815 4.342
CELL_PARAMETERS angstrom
-3.685 -7.152 -3.508
4.056 -5.069 6.075
-5.034 6.700 2.609
! Uncorrected energy in eV per atom: -5.902
! Crystal system: trigonal
! DOS at the Fermi energy in states/eV/f.u.: 10.97

# 4
! Ac2Ni3Ir | Alexandria | PBE-GGA | optimized geometry; values from VASP
&SYSTEM
  ibrav = 0, nat = 6, ntyp = 3
/
ATOMIC_SPECIES
Ac 227.00 Ac.upf
Ni 58.69 Ni.upf
Ir 192.22 Ir.upf
ATOMIC_POSITIONS angstrom
Ac -1.285 -0.953 2.456
Ac -1.296 -4.081 0.336
Ni -3.237 -1.664 0.589
Ni 0.000 0.000 0.000
Ni 0.655 -3.371 2.203
Ir -1.833 -1.317 -1.471
CELL_PARAMETERS angstrom
-3.183 1.245 2.852
-3.666 -2.635 -2.941
4.268 -3.645 2.881
! Polymorph energy (0 for the lowest one) in eV per formula unit: 2.12
! Formation energy in eV per atom: -0.0304
! Crystal system: orthorhombic
! DOS at the Fermi energy in states/eV/f.u.: 6.95

# 5
! ThCdHg2 | Alexandria | PBE-GGA | optimized geometry; values from VASP
&SYSTEM
  ibrav = 0, nat = 4, ntyp = 3
/
ATOMIC_SPECIES
Cd 112.41 Cd.upf
Hg 200.59 Hg.upf
Th 232.04 Th.upf
ATOMIC_POSITIONS angstrom
Cd -1.644 -0.528 1.872
Hg 0.573 1.431 0.907
Hg 1.916 4.783 3.033
Th -0.400 2.579 3.842
CELL_PARAMETERS angstrom
-3.410 0.906 0.726
0.121 -1.962 3.018
2.490 6.214 3.940
! Polymorph energy (0 for the lowest one) in eV per formula unit: 0.38
! Formation energy in eV per atom: -0.1461
! Crystal system: tetragonal
! DOS at the Fermi energy in states/eV/f.u.: 3.07

# 6
! Li7AgHg2 | Alexandria | PBE-GGA | optimized geometry; values from VASP
&SYSTEM
  ibrav = 0, nat = 10, ntyp = 3
/
ATOMIC_SPECIES
Li 6.94 Li.upf
Hg 200.59 Hg.upf
Ag 107.87 Ag.upf
ATOMIC_POSITIONS angstrom
Li -2.173 -4.240 0.639
Li -2.782 1.074 0.382
Li 1.874 -7.382 -0.588
Li -4.336 -0.406 2.037
Li -2.478 -1.583 0.510
Li -0.619 -2.761 -1.016
Li -4.853 4.545 3.760
Hg -0.273 -5.492 -0.915
Hg -4.682 2.326 1.935
Ag 0.000 0.000 0.000
CELL_PARAMETERS angstrom
-1.976 -0.330 -2.151
4.163 -11.440 -2.067
-7.142 8.604 5.240
! Polymorph energy (0 for the lowest one) in eV per formula unit: 0.42
! Formation energy in eV per atom: -0.1450
! Crystal system: orthorhombic
! DOS at the Fermi energy in states/eV/f.u.: 2.93

# 7
! YAgPtO4 | Alexandria | PBE-GGA | optimized geometry; values from VASP
&SYSTEM
  ibrav = 0, nat = 14, ntyp = 4
/
ATOMIC_SPECIES
Y 88.91 Y.upf
O 16.00 O.upf
Pt 195.08 Pt.upf
Ag 107.87 Ag.upf
ATOMIC_POSITIONS angstrom
Y 3.216 0.000 0.000
Y 3.216 -1.821 2.995
O 0.000 1.706 1.539
O 4.640 -0.739 1.601
O -1.424 2.799 3.753
O 0.000 0.330 3.801
O 3.216 0.354 3.815
O 1.792 -0.739 1.601
O 3.216 1.729 1.553
O 1.424 2.799 3.753
Pt 1.608 1.030 2.677
Pt -1.608 1.030 2.677
Ag 3.216 3.756 0.233
Ag 0.000 -1.696 5.121
CELL_PARAMETERS angstrom
6.432 0.000 0.000
-3.216 5.702 -0.635
0.000 -3.642 5.989
! Uncorrected energy in eV per atom: -6.454
! Crystal system: orthorhombic

# 8
! Th8Si3IrSe4 | Alexandria | PBE-GGA | optimized geometry; values from VASP
&SYSTEM
  ibrav = 0, nat = 16, ntyp = 4
/
ATOMIC_SPECIES
Th 232.04 Th.upf
Se 78.96 Se.upf
Si 28.09 Si.upf
Ir 192.22 Ir.upf
ATOMIC_POSITIONS angstrom
Th 1.036 -2.736 4.124
Th -3.611 2.775 5.060
Th -1.632 -0.197 2.592
Th 5.272 -2.367 3.259
Th 2.515 0.225 1.745
Th 3.294 0.605 5.727
Th -0.853 0.183 6.574
Th 0.625 3.144 4.195
Se -1.939 2.912 2.419
Se 0.000 0.000 0.000
Se 4.152 0.362 -0.847
Se 2.213 3.274 1.571
Si 2.769 -2.708 1.741
Si -3.321 -0.158 5.007
Si 0.831 0.204 4.160
Ir -1.383 -3.070 2.588
CELL_PARAMETERS angstrom
-3.877 5.824 4.837
-2.766 -6.140 5.176
8.304 0.724 -1.695
! Uncorrected energy in eV per atom: -7.349
! Crystal system: trigonal
! DOS at the Fermi energy in states/eV/f.u.: 10.22

# 9
! TaAs2Os | Alexandria | PBE-GGA | optimized geometry; values from VASP
&SYSTEM
  ibrav = 0, nat = 4, ntyp = 3
/
ATOMIC_SPECIES
Os 190.23 Os.upf
As 74.92 As.upf
Ta 180.95 Ta.upf
ATOMIC_POSITIONS angstrom
Os 4.828 1.737 2.465
As 7.223 2.599 3.126
As 8.436 3.036 0.272
Ta 2.368 0.852 0.833
CELL_PARAMETERS angstrom
4.744 -0.008 0.004
3.651 3.028 0.004
1.245 0.448 4.452
! Polymorph energy (0 for the lowest one) in eV per formula unit: 0.33
! Formation energy in eV per atom: -0.0254
! Crystal system: monoclinic
! DOS at the Fermi energy in states/eV/f.u.: 2.19

# 10
! CaCoH3 | Alexandria | PBE-GGA | optimized geometry; values from VASP
&SYSTEM
  ibrav = 0, nat = 10, ntyp = 3
/
ATOMIC_SPECIES
H 1.01 H.upf
Ca 40.08 Ca.upf
Co 58.93 Co.upf
ATOMIC_POSITIONS angstrom
H 12.104 1.739 -0.242
H 5.388 1.739 0.778
H 6.441 1.739 -1.683
H 2.163 1.739 -0.472
H 7.825 1.739 0.969
H 8.878 1.739 -1.492
Ca 0.005 1.739 1.725
Ca 14.262 1.739 -2.438
Co 17.266 1.739 -2.681
Co -2.999 1.739 1.967
CELL_PARAMETERS angstrom
14.267 0.000 -0.714
5.362 1.739 -2.296
-5.362 1.739 2.296
! Uncorrected energy in eV per atom: -4.088
! Crystal system: monoclinic
! DOS at the Fermi energy in states/eV/f.u.: 1.54

# 11
! GaSiPt2 | Alexandria | PBE-GGA | optimized geometry; values from VASP
&SYSTEM
  ibrav = 0, nat = 16, ntyp = 3
/
ATOMIC_SPECIES
Si 28.09 Si.upf
Pt 195.08 Pt.upf
Ga 69.72 Ga.upf
ATOMIC_POSITIONS angstrom
Si 6.422 3.079 1.865
Si 2.698 -1.976 2.940
Si 9.770 1.201 1.951
Si 6.046 -3.854 3.027
Pt 11.070 -0.791 1.848
Pt 7.232 -2.314 1.350
Pt 1.186 -1.937 0.866
Pt 5.011 -1.714 3.169
Pt 5.236 1.539 3.542
Pt 1.398 0.017 3.044
Pt 11.282 1.162 4.025
Pt 7.457 0.940 1.722
Ga 8.859 3.692 4.090
Ga 4.927 0.008 1.402
Ga 3.609 -4.467 0.802
Ga 7.541 -0.782 3.490
CELL_PARAMETERS angstrom
-0.331 -0.415 3.821
3.217 -5.692 -0.339
9.582 5.332 1.410
! Uncorrected energy in eV per atom: -5.635
! Crystal system: orthorhombic
! DOS at the Fermi energy in states/eV/f.u.: 1.38

# 12
! Dy5Ho4Tm2 | Alexandria | PBE-GGA | optimized geometry; values from VASP
&SYSTEM
  ibrav = 0, nat = 11, ntyp = 3
/
ATOMIC_SPECIES
Dy 162.50 Dy.upf
Tm 168.93 Tm.upf
Ho 164.93 Ho.upf
ATOMIC_POSITIONS angstrom
Dy -8.150 1.294 5.589
Dy -4.488 -2.239 8.354
Dy -6.672 -0.415 9.845
Dy -3.851 -2.535 5.286
Dy -5.967 -0.530 4.098
Tm -7.189 -3.761 9.721
Tm -5.449 2.816 4.222
Ho -4.971 1.037 7.098
Ho -3.150 0.567 2.517
Ho -9.488 -1.512 11.426
Ho -7.667 -1.982 6.845
CELL_PARAMETERS angstrom
-4.937 4.125 3.372
-6.084 -2.001 1.362
-1.617 -3.069 9.210
! Formation energy in eV per atom: 0.1359
! Crystal system: monoclinic
! DOS at the Fermi energy in states/eV/f.u.: 17.90